[1]
DFT (PBE) results for a geometry-optimized AlIn4Cu structure.

extended XYZ file:
```
6
Lattice="0.000 4.269 4.269 4.269 0.000 4.269 4.269 4.269 0.000" Properties=species:S:1:pos:R:3 pbc="T T T"
Al 0.000 0.000 0.000
In 3.204 3.204 3.204
In 5.335 5.335 3.204
In 5.335 3.204 5.335
In 3.204 5.335 5.335
Cu 6.404 6.404 6.404
```

Results
DOS at the Fermi energy: 3.354 states/eV per cell
space group: F-43m
ΔE_f: 0.50 eV/atom

---

[2]
DFT (PBE) results for a geometry-optimized AlInCu3 structure.

extended XYZ file:
```
5
Lattice="4.558 0.000 0.000 0.000 4.558 0.000 0.000 0.000 4.558" Properties=species:S:1:pos:R:3 pbc="T T T"
Al 0.000 0.000 0.000
In 2.279 2.279 2.279
Cu 0.000 0.000 2.279
Cu 0.000 2.279 0.000
Cu 2.279 0.000 0.000
```

Results
excess energy over the best structure of this formula in the dataset: 0.0000 eV per atom
DOS at the Fermi energy: 1.847 states/eV per cell
space group: Pm-3m
ΔE_f: 0.51 eV/atom

---

[3]
DFT (PBE) results for a geometry-optimized Al2InCu structure.

extended XYZ file:
```
4
Lattice="3.583 0.000 0.000 0.000 4.328 0.000 -1.669 0.000 4.863" Properties=species:S:1:pos:R:3 pbc="T T T"
Al 0.018 0.000 1.361
Al 1.895 0.000 3.502
In 1.791 2.164 0.000
Cu -0.835 2.164 2.432
```

Results
DOS at the Fermi energy: 0.968 states/eV per cell
space group: P2/m
ΔE_f: 0.13 eV/atom

---

[4]
DFT (PBE) results for a geometry-optimized Al2InCu structure.

extended XYZ file:
```
4
Lattice="2.961 0.000 0.000 0.000 2.961 0.000 0.000 0.000 8.027" Properties=species:S:1:pos:R:3 pbc="T T T"
Al 0.000 0.000 1.588
Al 0.000 0.000 6.439
In 1.481 1.481 4.013
Cu 1.481 1.481 0.000
```

Results
DOS at the Fermi energy: 1.207 states/eV per cell
space group: P4/mmm
ΔE_f: 0.03 eV/atom

---

[5]
DFT (PBE) results for a geometry-optimized AlInCu2 structure.

extended XYZ file:
```
8
Lattice="-2.050 2.050 8.645 2.050 -2.050 8.645 2.050 2.050 -8.645" Properties=species:S:1:pos:R:3 pbc="T T T"
Al 0.000 0.000 0.000
Al 0.000 2.050 4.323
In 2.050 0.000 4.323
In 0.000 0.000 8.645
Cu 3.074 0.788 -2.161
Cu 0.788 1.025 2.161
Cu -1.025 1.262 6.484
Cu 1.262 1.025 10.807
```

Results
DOS at the Fermi energy: 3.023 states/eV per cell
space group: I-42d
ΔE_f: 0.22 eV/atom

---

[6]
DFT (PBE) results for a geometry-optimized AlInCu structure.

extended XYZ file:
```
3
Lattice="3.167 0.000 0.000 -1.584 2.743 0.000 0.000 0.000 6.272" Properties=species:S:1:pos:R:3 pbc="T T T"
Al 0.000 0.000 0.000
In 1.584 0.914 3.820
Cu 0.000 1.829 1.726
```

Results
DOS at the Fermi energy: 1.477 states/eV per cell
space group: P3m1
ΔE_f: 0.10 eV/atom

---

[7]
DFT (PBE) results for a geometry-optimized AlInCu2 structure.

extended XYZ file:
```
4
Lattice="2.934 0.000 0.000 0.000 2.934 0.000 0.000 0.000 7.314" Properties=species:S:1:pos:R:3 pbc="T T T"
Al 0.000 0.000 0.000
In 0.000 0.000 3.657
Cu 1.467 1.467 1.569
Cu 1.467 1.467 5.745
```

Results
DOS at the Fermi energy: 1.562 states/eV per cell
space group: P4/mmm
ΔE_f: 0.02 eV/atom

---

[8]
DFT (PBE) results for a geometry-optimized Al2InCu structure.

extended XYZ file:
```
4
Lattice="1.540 0.889 8.661 -1.540 0.889 8.661 0.000 -1.778 8.661" Properties=species:S:1:pos:R:3 pbc="T T T"
Al 0.000 0.000 6.171
Al 0.000 0.000 19.811
In 0.000 0.000 0.000
Cu 0.000 0.000 12.991
```

Results
DOS at the Fermi energy: 1.049 states/eV per cell
space group: R-3m
ΔE_f: 0.06 eV/atom

---

[9]
DFT (PBE) results for a geometry-optimized AlIn3Cu structure.

extended XYZ file:
```
5
Lattice="5.329 0.000 0.000 0.000 5.329 0.000 0.000 0.000 5.329" Properties=species:S:1:pos:R:3 pbc="T T T"
Al 0.000 0.000 0.000
In 0.000 0.000 2.665
In 0.000 2.665 0.000
In 2.665 0.000 0.000
Cu 2.665 2.665 2.665
```

Results
excess energy over the best structure of this formula in the dataset: 0.3170 eV per atom
DOS at the Fermi energy: 2.885 states/eV per cell
space group: Pm-3m
ΔE_f: 0.63 eV/atom

---

[10]
DFT (PBE) results for a geometry-optimized Al2InCu structure.

extended XYZ file:
```
4
Lattice="0.000 3.307 3.307 3.307 0.000 3.307 3.307 3.307 0.000" Properties=species:S:1:pos:R:3 pbc="T T T"
Al 0.000 0.000 0.000
Al 1.654 1.654 1.654
In 3.307 3.307 3.307
Cu 4.961 4.961 4.961
```

Results
DOS at the Fermi energy: 2.438 states/eV per cell
space group: F-43m
ΔE_f: 0.24 eV/atom

---

[11]
DFT (PBE) results for a geometry-optimized AlIn2Cu structure.

extended XYZ file:
```
4
Lattice="3.025 0.000 0.000 0.000 3.097 0.000 0.000 0.000 8.633" Properties=species:S:1:pos:R:3 pbc="T T T"
Al 0.000 0.000 0.000
In 0.000 0.000 3.402
In 1.513 1.549 6.232
Cu 1.513 1.549 1.403
```

Results
DOS at the Fermi energy: 1.592 states/eV per cell
space group: Pmm2
ΔE_f: 0.06 eV/atom

---

[12]
DFT (PBE) results for a geometry-optimized Al2InCu structure.

extended XYZ file:
```
4
Lattice="2.741 -4.101 0.000 2.741 4.101 0.000 0.000 0.000 3.163" Properties=species:S:1:pos:R:3 pbc="T T T"
Al 1.371 2.051 0.000
Al 1.371 -2.051 0.000
In 0.000 0.000 1.581
Cu 2.741 0.000 1.581
```

Results
DOS at the Fermi energy: 0.921 states/eV per cell
space group: Cmmm
ΔE_f: 0.16 eV/atom

---

[13]
DFT (PBE) results for a geometry-optimized AlIn2Cu structure.

extended XYZ file:
```
4
Lattice="1.606 0.927 9.040 -1.606 0.927 9.040 0.000 -1.854 9.040" Properties=species:S:1:pos:R:3 pbc="T T T"
Al 0.000 0.000 0.000
In 0.000 0.000 6.597
In 0.000 0.000 20.523
Cu 0.000 0.000 13.560
```

Results
DOS at the Fermi energy: 0.753 states/eV per cell
space group: R-3m
ΔE_f: 0.16 eV/atom

---

[14]
DFT (PBE) results for a geometry-optimized AlInCu2Ir structure.

extended XYZ file:
```
5
Lattice="4.802 0.000 0.000 0.000 4.802 0.000 0.000 0.000 4.617" Properties=species:S:1:pos:R:3 pbc="T T T"
Al 0.000 0.000 0.000
In 2.401 2.401 0.000
Cu 0.000 2.401 2.308
Cu 2.401 0.000 2.308
Ir 0.000 0.000 2.308
```

Results
DOS at the Fermi energy: 2.460 states/eV per cell
space group: P4/mmm
ΔE_f: 0.45 eV/atom

---

[15]
DFT (PBE) results for a geometry-optimized AlInCuIr2 structure.

extended XYZ file:
```
5
Lattice="4.876 0.000 0.000 0.000 4.876 0.000 0.000 0.000 4.560" Properties=species:S:1:pos:R:3 pbc="T T T"
Al 0.000 0.000 0.000
In 2.438 2.438 2.280
Cu 2.438 2.438 0.000
Ir 0.000 2.438 2.280
Ir 2.438 0.000 2.280
```

Results
DOS at the Fermi energy: 3.137 states/eV per cell
space group: P4/mmm
ΔE_f: 1.46 eV/atom

---

[16]
DFT (PBE) results for a geometry-optimized LaAl2InCu structure.

extended XYZ file:
```
5
Lattice="5.038 0.000 0.000 0.000 5.038 0.000 0.000 0.000 6.068" Properties=species:S:1:pos:R:3 pbc="T T T"
La 0.000 0.000 0.000
Al 0.000 2.519 3.034
Al 2.519 0.000 3.034
In 0.000 0.000 3.034
Cu 2.519 2.519 0.000
```

Results
DOS at the Fermi energy: 4.682 states/eV per cell
space group: P4/mmm
ΔE_f: 0.76 eV/atom

---

[17]
DFT (PBE) results for a geometry-optimized LiAlInCu structure.

extended XYZ file:
```
4
Lattice="0.000 3.178 3.178 3.178 0.000 3.178 3.178 3.178 0.000" Properties=species:S:1:pos:R:3 pbc="T T T"
Li 0.000 0.000 0.000
Al 4.766 4.766 4.766
In 1.589 1.589 1.589
Cu 3.178 3.178 3.178
```

Results
DOS at the Fermi energy: 1.500 states/eV per cell
space group: F-43m
ΔE_f: -0.10 eV/atom

---

[18]
DFT (PBE) results for a geometry-optimized Nd2Al4InCu3 structure.

extended XYZ file:
```
10
Lattice="4.292 0.000 0.000 0.000 4.292 0.000 0.000 0.000 10.519" Properties=species:S:1:pos:R:3 pbc="T T T"
Nd 0.000 2.146 2.517
Nd 2.146 0.000 8.002
Al 0.000 0.000 0.000
Al 0.000 2.146 6.868
Al 2.146 0.000 3.650
Al 2.146 2.146 0.000
In 0.000 0.000 5.259
Cu 0.000 2.146 9.258
Cu 2.146 0.000 1.260
Cu 2.146 2.146 5.259
```

Results
DOS at the Fermi energy: 4.401 states/eV per cell
space group: P-4m2
ΔE_f: -0.40 eV/atom

---

[19]
DFT (PBE) results for a geometry-optimized Nd2Al3InCu4 structure.

extended XYZ file:
```
10
Lattice="4.294 0.000 0.000 0.000 4.294 0.000 0.000 0.000 10.328" Properties=species:S:1:pos:R:3 pbc="T T T"
Nd 0.000 2.147 2.449
Nd 2.147 0.000 7.879
Al 0.000 2.147 9.080
Al 2.147 0.000 1.249
Al 2.147 2.147 5.164
In 0.000 0.000 5.164
Cu 0.000 0.000 0.000
Cu 0.000 2.147 6.655
Cu 2.147 0.000 3.674
Cu 2.147 2.147 0.000
```

Results
DOS at the Fermi energy: 5.539 states/eV per cell
space group: P-4m2
ΔE_f: -0.36 eV/atom

---

[20]
DFT (PBE) results for a geometry-optimized AlInCu2Pd structure.

extended XYZ file:
```
5
Lattice="4.772 0.000 0.000 0.000 4.772 0.000 0.000 0.000 5.034" Properties=species:S:1:pos:R:3 pbc="T T T"
Al 0.000 0.000 0.000
In 2.386 2.386 2.517
Cu 0.000 2.386 2.517
Cu 2.386 0.000 2.517
Pd 2.386 2.386 0.000
```

Results
DOS at the Fermi energy: 2.491 states/eV per cell
space group: P4/mmm
ΔE_f: 0.82 eV/atom